DFT (GGA-PBE) results for a relaxed structure of V2Pd5.

Calculated values
* magnetization: 0.00 μB per cell
* relative energy among the computed polymorphs: 176 meV per atom
* ΔH_f (0 K): -2.1 kJ per mole of atoms
* energy: -6.34 eV per atom

Cell: 8.9202 8.9202 2.7177 Å, 90.00 90.00 90.00°
Closest atoms and distances in Å follow each position.
Space group P4/mbm (No. 127)
One atom of each set of equivalent atoms:
V 0.1808 0.3192 0.0000 x4  10 Pd 2.65-2.77, 2 V 2.72
Pd 0.0000 0.5000 0.5000 x2  4 V 2.66, 6 Pd 2.69-2.72
Pd 0.0652 0.7947 0.5000 x8  4 V 2.65-2.77, 6 Pd 2.69-2.90